[1]
Entry from the Alexandria database: Sc8TlCu2 after structural relaxation (PBE).

```
data_Sc8TlCu2
_chemical_formula_sum 'Sc16 Tl2 Cu4'
_symmetry_space_group_name_H-M 'C 1 2/m 1'
_symmetry_Int_Tables_number 12
_symmetry_space_group_name_Hall '-C 2y'
_cell_length_a 8.239
_cell_length_b 12.718
_cell_length_c 4.914
_cell_angle_alpha 90.00
_cell_angle_beta 106.02
_cell_angle_gamma 90.00
loop_
_atom_site_label
_atom_site_fract_x
_atom_site_fract_y
_atom_site_fract_z
Sc1 0.000 0.242 0.000
Sc2 0.105 0.500 0.804
Sc3 0.203 0.124 0.590
Tl1 0.000 0.000 0.000
Cu1 0.000 0.310 0.500
```

**DFT formation energy**: -70 meV/atom
**Crystal system**: monoclinic
**D(E_F)**: 15.92 states/eV/f.u.
**E above lowest polymorph**: 38 meV per atom

[2]
Entry from the Alexandria database: ScTl2Cu2 after structural relaxation (PBE).

```
data_ScTl2Cu2
_chemical_formula_sum 'Sc2 Tl4 Cu4'
_symmetry_space_group_name_H-M 'I 4/m m m'
_symmetry_Int_Tables_number 139
_symmetry_space_group_name_Hall '-I 4 2'
_cell_length_a 3.421
_cell_length_b 3.421
_cell_length_c 17.414
_cell_angle_alpha 90.00
_cell_angle_beta 90.00
_cell_angle_gamma 90.00
loop_
_atom_site_label
_atom_site_fract_x
_atom_site_fract_y
_atom_site_fract_z
Sc1 0.000 0.000 0.000
Tl1 0.000 0.000 0.382
Cu1 0.000 0.500 0.250
```

**DFT formation energy**: 96 meV/atom
**Crystal system**: tetragonal
**D(E_F)**: 2.14 states/eV/f.u.
**E above lowest polymorph**: 18 meV per atom

[3]
Entry from the Alexandria database: ScTlCu after structural relaxation (PBE).

```
data_ScTlCu
_chemical_formula_sum 'Sc4 Tl4 Cu4'
_symmetry_space_group_name_H-M 'P n m a'
_symmetry_Int_Tables_number 62
_symmetry_space_group_name_Hall '-P 2ac 2n'
_cell_length_a 8.700
_cell_length_b 4.380
_cell_length_c 6.590
_cell_angle_alpha 90.00
_cell_angle_beta 90.00
_cell_angle_gamma 90.00
loop_
_atom_site_label
_atom_site_fract_x
_atom_site_fract_y
_atom_site_fract_z
Sc1 0.128 0.250 0.229
Tl1 0.124 0.250 0.773
Cu1 0.105 0.750 0.500
```

**DFT formation energy**: -114 meV/atom
**Crystal system**: orthorhombic
**D(E_F)**: 1.61 states/eV/f.u.

[4]
Entry from the Alexandria database: ScTlCu after structural relaxation (PBE).

```
data_ScTlCu
_chemical_formula_sum 'Sc6 Tl6 Cu6'
_symmetry_space_group_name_H-M 'P m m a'
_symmetry_Int_Tables_number 51
_symmetry_space_group_name_Hall '-P 2a 2a'
_cell_length_a 13.216
_cell_length_b 3.508
_cell_length_c 7.611
_cell_angle_alpha 90.00
_cell_angle_beta 90.00
_cell_angle_gamma 90.00
loop_
_atom_site_label
_atom_site_fract_x
_atom_site_fract_y
_atom_site_fract_z
Sc1 0.053 0.000 0.212
Sc2 0.250 0.000 0.826
Tl1 0.110 0.500 0.574
Tl2 0.250 0.500 0.155
Cu1 0.087 0.500 0.934
Cu2 0.250 0.000 0.431
```

**DFT formation energy**: -200 meV/atom
**Crystal system**: orthorhombic
**D(E_F)**: 1.00 states/eV/f.u.

[5]
Entry from the Alexandria database: ScTl4Cu after structural relaxation (PBE).

```
data_ScTl4Cu
_chemical_formula_sum 'Sc4 Tl16 Cu4'
_symmetry_space_group_name_H-M 'F -4 3 m'
_symmetry_Int_Tables_number 216
_symmetry_space_group_name_Hall 'F -4 2 3'
_cell_length_a 8.754
_cell_length_b 8.754
_cell_length_c 8.754
_cell_angle_alpha 90.00
_cell_angle_beta 90.00
_cell_angle_gamma 90.00
loop_
_atom_site_label
_atom_site_fract_x
_atom_site_fract_y
_atom_site_fract_z
Sc1 0.000 0.000 0.000
Tl1 0.125 0.125 0.625
Cu1 0.250 0.250 0.250
```

**DFT formation energy**: 491 meV/atom
**Crystal system**: cubic
**D(E_F)**: 5.54 states/eV/f.u.

[6]
Entry from the Alexandria database: Sc3TlCu after structural relaxation (PBE).

```
data_Sc3TlCu
_chemical_formula_sum 'Sc3 Tl1 Cu1'
_symmetry_space_group_name_H-M 'P m -3 m'
_symmetry_Int_Tables_number 221
_symmetry_space_group_name_Hall '-P 4 2 3'
_cell_length_a 5.356
_cell_length_b 5.356
_cell_length_c 5.356
_cell_angle_alpha 90.00
_cell_angle_beta 90.00
_cell_angle_gamma 90.00
loop_
_atom_site_label
_atom_site_fract_x
_atom_site_fract_y
_atom_site_fract_z
Sc1 0.000 0.000 0.500
Tl1 0.000 0.000 0.000
Cu1 0.500 0.500 0.500
```

**DFT formation energy**: 789 meV/atom
**Crystal system**: cubic
**D(E_F)**: 10.10 states/eV/f.u.
**E above lowest polymorph**: 903 meV per atom

[7]
Entry from the Alexandria database: Sc5TlCu4 after structural relaxation (PBE).

```
data_Sc5TlCu4
_chemical_formula_sum 'Sc5 Tl1 Cu4'
_symmetry_space_group_name_H-M 'P 4/m m m'
_symmetry_Int_Tables_number 123
_symmetry_space_group_name_Hall '-P 4 2'
_cell_length_a 3.284
_cell_length_b 3.284
_cell_length_c 17.171
_cell_angle_alpha 90.00
_cell_angle_beta 90.00
_cell_angle_gamma 90.00
loop_
_atom_site_label
_atom_site_fract_x
_atom_site_fract_y
_atom_site_fract_z
Sc1 0.000 0.000 0.000
Sc2 0.000 0.000 0.189
Sc3 0.000 0.000 0.377
Tl1 0.500 0.500 0.500
Cu1 0.500 0.500 0.095
Cu2 0.500 0.500 0.282
```

**DFT formation energy**: -274 meV/atom
**Crystal system**: tetragonal
**D(E_F)**: 6.24 states/eV/f.u.

[8]
Entry from the Alexandria database: ScTlV2Cu after structural relaxation (PBE).

```
data_ScTlV2Cu
_chemical_formula_sum 'Sc1 Tl1 V2 Cu1'
_symmetry_space_group_name_H-M 'P 4/m m m'
_symmetry_Int_Tables_number 123
_symmetry_space_group_name_Hall '-P 4 2'
_cell_length_a 4.566
_cell_length_b 4.566
_cell_length_c 4.810
_cell_angle_alpha 90.00
_cell_angle_beta 90.00
_cell_angle_gamma 90.00
loop_
_atom_site_label
_atom_site_fract_x
_atom_site_fract_y
_atom_site_fract_z
Sc1 0.000 0.000 0.000
Tl1 0.500 0.500 0.000
V1 0.000 0.500 0.500
Cu1 0.000 0.000 0.500
```

**DFT formation energy**: 723 meV/atom
**Crystal system**: tetragonal
**D(E_F)**: 6.92 states/eV/f.u.

[9]
Entry from the Alexandria database: ZrSc2TlCu after structural relaxation (PBE).

```
data_ZrSc2TlCu
_chemical_formula_sum 'Zr1 Sc2 Tl1 Cu1'
_symmetry_space_group_name_H-M 'P 4/m m m'
_symmetry_Int_Tables_number 123
_symmetry_space_group_name_Hall '-P 4 2'
_cell_length_a 5.107
_cell_length_b 5.107
_cell_length_c 5.567
_cell_angle_alpha 90.00
_cell_angle_beta 90.00
_cell_angle_gamma 90.00
loop_
_atom_site_label
_atom_site_fract_x
_atom_site_fract_y
_atom_site_fract_z
Zr1 0.000 0.000 0.000
Sc1 0.000 0.500 0.000
Tl1 0.000 0.000 0.500
Cu1 0.500 0.500 0.500
```

**DFT formation energy**: 1008 meV/atom
**Crystal system**: tetragonal
**D(E_F)**: 4.56 states/eV/f.u.

[10]
Entry from the Alexandria database: TmSc2Cu9 after structural relaxation (PBE).

```
data_TmSc2Cu9
_chemical_formula_sum 'Tm3 Sc6 Cu27'
_symmetry_space_group_name_H-M 'R -3 m'
_symmetry_Int_Tables_number 166
_symmetry_space_group_name_Hall '-R 3 2"'
_cell_length_a 5.0454
_cell_length_b 5.0454
_cell_length_c 24.3832
_cell_angle_alpha 90.00
_cell_angle_beta 90.00
_cell_angle_gamma 120.00
loop_
_atom_site_label
_atom_site_fract_x
_atom_site_fract_y
_atom_site_fract_z
Tm1 0.0000 0.0000 0.0000
Sc1 0.0000 0.0000 0.1433
Cu1 0.0000 0.0000 0.3329
Cu2 0.0000 0.0000 0.5000
Cu3 0.0023 0.5011 0.9158
```

**DFT formation energy**: -217 meV/atom
**Crystal system**: trigonal
**D(E_F)**: 10.17 states/eV/f.u.

[11]
Entry from the Alexandria database: Tm2ScCu9 after structural relaxation (PBE).

```
data_Tm2ScCu9
_chemical_formula_sum 'Tm6 Sc3 Cu27'
_symmetry_space_group_name_H-M 'R -3 m'
_symmetry_Int_Tables_number 166
_symmetry_space_group_name_Hall '-R 3 2"'
_cell_length_a 5.0537
_cell_length_b 5.0537
_cell_length_c 24.8755
_cell_angle_alpha 90.00
_cell_angle_beta 90.00
_cell_angle_gamma 120.00
loop_
_atom_site_label
_atom_site_fract_x
_atom_site_fract_y
_atom_site_fract_z
Tm1 0.0000 0.0000 0.1386
Sc1 0.0000 0.0000 0.0000
Cu1 0.0000 0.0000 0.3328
Cu2 0.0000 0.0000 0.5000
Cu3 0.0012 0.5006 0.9181
```

**DFT formation energy**: -193 meV/atom
**Crystal system**: trigonal
**D(E_F)**: 7.39 states/eV/f.u.
**E above lowest polymorph**: 4 meV per atom

[12]
Entry from the Alexandria database: TmSc2Cu6 after structural relaxation (PBE).

```
data_TmSc2Cu6
_chemical_formula_sum 'Tm2 Sc4 Cu12'
_symmetry_space_group_name_H-M 'I m m m'
_symmetry_Int_Tables_number 71
_symmetry_space_group_name_Hall '-I 2 2'
_cell_length_a 3.312
_cell_length_b 7.000
_cell_length_c 13.011
_cell_angle_alpha 90.00
_cell_angle_beta 90.00
_cell_angle_gamma 90.00
loop_
_atom_site_label
_atom_site_fract_x
_atom_site_fract_y
_atom_site_fract_z
Tm1 0.000 0.000 0.000
Sc1 0.000 0.500 0.138
Cu1 0.000 0.178 0.500
Cu2 0.000 0.316 0.323
```

**DFT formation energy**: -152 meV/atom
**Crystal system**: orthorhombic
**D(E_F)**: 5.57 states/eV/f.u.